! AcGaP4, optimized geometry, DFT PBE; values from VASP
! SG = F-43m, No. 216
! Calculated total energy = -4.968 eV/atom
! Formation energy from the elements = -0.17 eV per atom
&SYSTEM
  ibrav = 0, nat = 6, ntyp = 3
/
ATOMIC_SPECIES
Ac 227.00 Ac.upf
Ga 69.72 Ga.upf
P 30.97 P.upf
CELL_PARAMETERS angstrom
0.0000 3.8971 3.8971
3.8971 0.0000 3.8971
3.8971 3.8971 0.0000
ATOMIC_POSITIONS crystal
Ac 0.0000 0.0000 0.0000
Ga 0.7500 0.7500 0.7500
P 0.3895 0.3895 0.3895
P 0.3895 0.3895 0.8315
P 0.3895 0.8315 0.3895
P 0.8315 0.3895 0.3895

! MoPdS2Cl, optimized geometry, DFT PBE; values from VASP
! Distance to the lowest polymorph of the same formula = 492 meV/atom
! Formation energy from raw total energies = 0.72 eV per atom
! SG = P4/mmm, No. 123
! Calculated total energy = -4.508 eV/atom
&SYSTEM
  ibrav = 0, nat = 5, ntyp = 4
/
ATOMIC_SPECIES
Mo 95.94 Mo.upf
Pd 106.42 Pd.upf
S 32.06 S.upf
Cl 35.45 Cl.upf
CELL_PARAMETERS angstrom
4.7394 0.0000 0.0000
0.0000 4.7394 0.0000
0.0000 0.0000 4.6663
ATOMIC_POSITIONS crystal
Mo 0.0000 0.0000 0.0000
Pd 0.5000 0.5000 0.5000
S 0.0000 0.5000 0.5000
S 0.5000 0.0000 0.5000
Cl 0.5000 0.5000 0.0000

! AlHgPb, optimized geometry, DFT PBE; values from VASP
! Distance to the lowest polymorph of the same formula = 0 meV/atom
! SG = P4/nmm, No. 129
! Calculated total energy = -2.462 eV/atom
! Formation energy from the elements = 0.12 eV per atom
&SYSTEM
  ibrav = 0, nat = 6, ntyp = 3
/
ATOMIC_SPECIES
Al 26.98 Al.upf
Hg 200.59 Hg.upf
Pb 207.20 Pb.upf
CELL_PARAMETERS angstrom
4.3282 0.0000 0.0000
0.0000 4.3282 0.0000
0.0000 0.0000 7.9651
ATOMIC_POSITIONS crystal
Al 0.2500 0.7500 0.0000
Al 0.7500 0.2500 0.0000
Hg 0.2500 0.2500 0.2277
Hg 0.7500 0.7500 0.7723
Pb 0.2500 0.2500 0.6277
Pb 0.7500 0.7500 0.3723

! TcNi2P, optimized geometry, DFT PBE; values from VASP
! SG = Pmmm, No. 47
! Calculated total energy = -6.870 eV/atom
! Formation energy from the elements = -0.04 eV per atom
&SYSTEM
  ibrav = 0, nat = 4, ntyp = 3
/
ATOMIC_SPECIES
Tc 98.00 Tc.upf
Ni 58.69 Ni.upf
P 30.97 P.upf
CELL_PARAMETERS angstrom
2.6981 0.0000 0.0000
0.0000 3.6845 0.0000
0.0000 0.0000 4.8958
ATOMIC_POSITIONS crystal
Tc 0.0000 0.0000 0.0000
Ni 0.5000 0.5000 0.2508
Ni 0.5000 0.5000 0.7492
P 0.0000 0.0000 0.5000

! Ca2MgPaBi4, optimized geometry, DFT PBE; values from VASP
! SG = P2/m, No. 10
! Calculated total energy = -4.241 eV/atom
! Formation energy from the elements = -0.41 eV per atom
&SYSTEM
  ibrav = 0, nat = 8, ntyp = 4
/
ATOMIC_SPECIES
Ca 40.08 Ca.upf
Mg 24.30 Mg.upf
Pa 231.04 Pa.upf
Bi 208.98 Bi.upf
CELL_PARAMETERS angstrom
7.4594 0.0000 0.0000
0.0000 4.7353 0.0000
-3.1823 0.0000 7.3944
ATOMIC_POSITIONS crystal
Ca 0.0000 0.0000 0.0000
Ca 0.5000 0.5000 0.0000
Mg 0.0000 0.5000 0.5000
Pa 0.5000 0.0000 0.5000
Bi 0.2383 0.0000 0.7264
Bi 0.2614 0.5000 0.2612
Bi 0.7386 0.5000 0.7388
Bi 0.7617 0.0000 0.2736

! TaTe2Mo, optimized geometry, DFT PBE; values from VASP
! Distance to the lowest polymorph of the same formula = 191 meV/atom
! Formation energy from raw total energies = 0.01 eV per atom
! SG = R3m, No. 160
! Calculated total energy = -7.234 eV/atom
&SYSTEM
  ibrav = 0, nat = 4, ntyp = 3
/
ATOMIC_SPECIES
Ta 180.95 Ta.upf
Te 127.60 Te.upf
Mo 95.94 Mo.upf
CELL_PARAMETERS angstrom
1.6899 0.9757 10.2720
-1.6899 0.9757 10.2720
0.0000 -1.9513 10.2720
ATOMIC_POSITIONS crystal
Ta 0.0000 0.0000 0.0000
Te 0.2682 0.2682 0.2682
Te 0.4622 0.4622 0.4622
Mo 0.7340 0.7340 0.7340

! RbNi2Pb2, optimized geometry, DFT PBE; values from VASP
! Distance to the lowest polymorph of the same formula = 0 meV/atom
! SG = I4/mmm, No. 139
! Calculated total energy = -3.857 eV/atom
! Formation energy from the elements = 0.13 eV per atom
&SYSTEM
  ibrav = 0, nat = 5, ntyp = 3
/
ATOMIC_SPECIES
Rb 85.47 Rb.upf
Ni 58.69 Ni.upf
Pb 207.20 Pb.upf
CELL_PARAMETERS angstrom
-2.3566 2.3566 6.0668
2.3566 -2.3566 6.0668
2.3566 2.3566 -6.0668
ATOMIC_POSITIONS crystal
Rb 0.0000 0.0000 0.0000
Ni 0.2500 0.7500 0.5000
Ni 0.7500 0.2500 0.5000
Pb 0.3427 0.3427 0.0000
Pb 0.6573 0.6573 0.0000

! Sr3Ga8Rh3, optimized geometry, DFT PBE; values from VASP
! SG = Immm, No. 71
! Calculated total energy = -4.194 eV/atom
! Formation energy from the elements = -0.53 eV per atom
&SYSTEM
  ibrav = 0, nat = 14, ntyp = 3
/
ATOMIC_SPECIES
Sr 87.62 Sr.upf
Ga 69.72 Ga.upf
Rh 102.91 Rh.upf
CELL_PARAMETERS angstrom
-2.1800 5.0482 6.4529
2.1800 -5.0482 6.4529
2.1800 5.0482 -6.4529
ATOMIC_POSITIONS crystal
Sr 0.0000 0.0000 0.0000
Sr 0.3207 0.3207 0.0000
Sr 0.6793 0.6793 0.0000
Ga 0.0236 0.6708 0.3527
Ga 0.1754 0.8858 0.2895
Ga 0.3181 0.6708 0.6473
Ga 0.4037 0.1142 0.2895
Ga 0.5963 0.8858 0.7104
Ga 0.6819 0.3292 0.3527
Ga 0.8246 0.1142 0.7104
Ga 0.9764 0.3292 0.6473
Rh 0.2752 0.5000 0.7752
Rh 0.5000 0.0000 0.5000
Rh 0.7248 0.5000 0.2248

! TcNi2P, optimized geometry, DFT PBE; values from VASP
! SG = Amm2, No. 38
! Calculated total energy = -7.042 eV/atom
! Formation energy from the elements = -0.21 eV per atom
&SYSTEM
  ibrav = 0, nat = 4, ntyp = 3
/
ATOMIC_SPECIES
Tc 98.00 Tc.upf
Ni 58.69 Ni.upf
P 30.97 P.upf
CELL_PARAMETERS angstrom
3.3461 0.0000 0.0000
0.0000 1.4828 4.9349
0.0000 -1.4828 4.9349
ATOMIC_POSITIONS crystal
Tc 0.0000 0.0000 0.0000
Ni 0.0000 0.2655 0.2655
Ni 0.5000 0.6535 0.6535
P 0.5000 0.4055 0.4055

! Tb4PmNd3, optimized geometry, DFT PBE; values from VASP
! Distance to the lowest polymorph of the same formula = 11 meV/atom
! SG = Pmn2_1, No. 31
! Calculated total energy = -4.669 eV/atom
! Formation energy from the elements = 0.03 eV per atom
&SYSTEM
  ibrav = 0, nat = 16, ntyp = 3
/
ATOMIC_SPECIES
Tb 158.93 Tb.upf
Pm 145.00 Pm.upf
Nd 144.24 Nd.upf
CELL_PARAMETERS angstrom
11.6428 0.0000 0.0000
0.0000 7.3397 0.0000
0.0000 0.0000 6.3340
ATOMIC_POSITIONS crystal
Tb 0.0000 0.1221 0.0000
Tb 0.0000 0.8779 0.4997
Tb 0.2497 0.1225 0.3324
Tb 0.2503 0.8775 0.8324
Tb 0.5000 0.1221 0.9997
Tb 0.5000 0.8779 0.5000
Tb 0.7503 0.1225 0.3324
Tb 0.7497 0.8775 0.8324
Pm 0.0000 0.3724 0.4991
Pm 0.5000 0.6276 0.9991
Nd 0.0000 0.6268 0.9988
Nd 0.2502 0.3727 0.8334
Nd 0.2498 0.6273 0.3334
Nd 0.5000 0.3732 0.4988
Nd 0.7498 0.3727 0.8334
Nd 0.7502 0.6273 0.3334

! Pm2HoTmS6, optimized geometry, DFT PBE; values from VASP
! Formation energy from raw total energies = -2.04 eV per atom
! SG = R3, No. 146
! Calculated total energy = -6.376 eV/atom
&SYSTEM
  ibrav = 0, nat = 10, ntyp = 4
/
ATOMIC_SPECIES
Pm 145.00 Pm.upf
Ho 164.93 Ho.upf
Tm 168.93 Tm.upf
S 32.06 S.upf
CELL_PARAMETERS angstrom
3.4967 2.0188 6.1699
-3.4967 2.0188 6.1699
0.0000 -4.0376 6.1699
ATOMIC_POSITIONS crystal
Pm 0.0000 0.0000 0.0000
Pm 0.4994 0.4994 0.4994
Ho 0.2045 0.2045 0.2045
Tm 0.7038 0.7038 0.7038
S 0.0849 0.4168 0.8188
S 0.3202 0.9135 0.5880
S 0.4168 0.8188 0.0849
S 0.5880 0.3202 0.9135
S 0.8188 0.0849 0.4168
S 0.9135 0.5880 0.3202

! NbVRh2, optimized geometry, DFT PBE; values from VASP
! Distance to the lowest polymorph of the same formula = 471 meV/atom
! SG = I-42d, No. 122
! Calculated total energy = -8.407 eV/atom
! Formation energy from the elements = 0.07 eV per atom
&SYSTEM
  ibrav = 0, nat = 8, ntyp = 3
/
ATOMIC_SPECIES
Nb 92.91 Nb.upf
V 50.94 V.upf
Rh 102.91 Rh.upf
CELL_PARAMETERS angstrom
-3.4623 3.4623 2.6826
3.4623 -3.4623 2.6826
3.4623 3.4623 -2.6826
ATOMIC_POSITIONS crystal
Nb 0.0000 0.0000 0.0000
Nb 0.7500 0.2500 0.5000
V 0.2500 0.7500 0.5000
V 0.5000 0.5000 0.0000
Rh 0.1555 0.1250 0.5305
Rh 0.3750 0.8445 0.9695
Rh 0.5945 0.6250 0.4695
Rh 0.8750 0.4055 0.0305